Compound: Tl2GeP
Source: Alexandria
Functional: PBE
Structure: relaxed

```
data_Tl2GeP
_chemical_formula_sum 'Tl8 Ge4 P4'
_symmetry_space_group_name_H-M 'I -4 2 d'
_symmetry_Int_Tables_number 122
_symmetry_space_group_name_Hall 'I -4 2bw'
_cell_length_a 6.3352
_cell_length_b 6.3352
_cell_length_c 12.1452
_cell_angle_alpha 90.00
_cell_angle_beta 90.00
_cell_angle_gamma 90.00
loop_
_atom_site_label
_atom_site_fract_x
_atom_site_fract_y
_atom_site_fract_z
_atom_site_occupancy
Tl1 0.2381 0.2500 0.1250 1
Ge1 0.0000 0.0000 0.5000 1
P1 0.0000 0.0000 0.0000 1
```

Calculated values
**Polymorph energy (0 for the lowest one)**: 0.000 eV per formula unit
**E**: -3.3358 eV/atom
**Magnetization**: 0.0 Bohr magnetons per cell
**Calculated volume**: 30.5 Å³ per atom
**Calculated formation energy**: 0.354 eV per atom
**N(E_F)**: 7.48 states/eV/cell